Version i
A geometry-optimized PmEr2Hg structure. Source: Alexandria, functional PBE.

Mass density, g/cm3: 10.1
DOS(E_F), states/eV/cell: 25.87

Cell and atoms, written as CIF:
```
data_PmEr2Hg
_chemical_formula_sum 'Pm4 Er8 Hg4'
_cell_length_a 7.642
_cell_length_b 7.642
_cell_length_c 7.642
_cell_angle_alpha 90.00
_cell_angle_beta 90.00
_cell_angle_gamma 90.00
_symmetry_space_group_name_H-M 'F m -3 m'
_symmetry_Int_Tables_number 225
_symmetry_space_group_name_Hall '-F 4 2 3'
loop_
_atom_site_label
_atom_site_fract_x
_atom_site_fract_y
_atom_site_fract_z
Pm1 0.000 0.000 0.000
Er1 0.250 0.250 0.250
Hg1 0.000 0.000 0.500
```

---

Version ii
A geometry-optimized PmEr2Hg structure. Source: Alexandria, functional PBE.

Mass density, g/cm3: 9.8
DOS(E_F), states/eV/cell: 4.02

Cell and atoms, written as CIF:
```
data_PmEr2Hg
_chemical_formula_sum 'Pm1 Er2 Hg1'
_cell_length_a 3.605
_cell_length_b 3.605
_cell_length_c 8.895
_cell_angle_alpha 90.00
_cell_angle_beta 90.00
_cell_angle_gamma 90.00
_symmetry_space_group_name_H-M 'P 4/m m m'
_symmetry_Int_Tables_number 123
_symmetry_space_group_name_Hall '-P 4 2'
loop_
_atom_site_label
_atom_site_fract_x
_atom_site_fract_y
_atom_site_fract_z
Pm1 0.000 0.000 0.000
Er1 0.500 0.500 0.282
Hg1 0.000 0.000 0.500
```

---

Version iii
A geometry-optimized PmEr2Hg structure. Source: Alexandria, functional PBE.

Mass density, g/cm3: 9.4
DOS(E_F), states/eV/cell: 13.79

Cell and atoms, written as CIF:
```
data_PmEr2Hg
_chemical_formula_sum 'Pm3 Er6 Hg3'
_cell_length_a 3.6360
_cell_length_b 3.6360
_cell_length_c 31.4824
_cell_angle_alpha 90.00
_cell_angle_beta 90.00
_cell_angle_gamma 120.00
_symmetry_space_group_name_H-M 'R 3 m'
_symmetry_Int_Tables_number 160
_symmetry_space_group_name_Hall 'R 3 -2"'
loop_
_atom_site_label
_atom_site_fract_x
_atom_site_fract_y
_atom_site_fract_z
Pm1 0.0000 0.0000 0.0000
Er1 0.0000 0.0000 0.2412
Er2 0.0000 0.0000 0.4256
Hg1 0.0000 0.0000 0.8336
```

---

Least stable structure: version i

---

Version i
A geometry-optimized Pm4ErHg structure. Source: Alexandria, functional PBE.

Mass density, g/cm3: 8.2
DOS(E_F), states/eV/cell: 32.54

Cell and atoms, written as CIF:
```
data_Pm4ErHg
_chemical_formula_sum 'Pm16 Er4 Hg4'
_cell_length_a 8.919
_cell_length_b 14.137
_cell_length_c 6.462
_cell_angle_alpha 90.00
_cell_angle_beta 109.15
_cell_angle_gamma 90.00
_symmetry_space_group_name_H-M 'C 1 2/c 1'
_symmetry_Int_Tables_number 15
loop_
_symmetry_equiv_pos_as_xyz
'x,y,z'
'-x,-y,-z'
'-x,y,-z+1/2'
'x,-y,z+1/2'
'x+1/2,y+1/2,z'
'-x+1/2,-y+1/2,-z'
'-x+1/2,y+1/2,-z+1/2'
'x+1/2,-y+1/2,z+1/2'
loop_
_atom_site_label
_atom_site_fract_x
_atom_site_fract_y
_atom_site_fract_z
Pm1 0.100 0.189 0.048
Pm2 0.216 0.385 0.375
Er1 0.000 0.408 0.750
Hg1 0.000 0.001 0.750
```

---

Version ii
A geometry-optimized Pm4ErHg structure. Source: Alexandria, functional PBE.

Mass density, g/cm3: 8.3
DOS(E_F), states/eV/cell: 7.75

Cell and atoms, written as CIF:
```
data_Pm4ErHg
_chemical_formula_sum 'Pm4 Er1 Hg1'
_cell_length_a 3.663
_cell_length_b 3.663
_cell_length_c 14.107
_cell_angle_alpha 90.00
_cell_angle_beta 90.00
_cell_angle_gamma 90.00
_symmetry_space_group_name_H-M 'P 4/m m m'
_symmetry_Int_Tables_number 123
_symmetry_space_group_name_Hall '-P 4 2'
loop_
_atom_site_label
_atom_site_fract_x
_atom_site_fract_y
_atom_site_fract_z
Pm1 0.000 0.000 0.145
Pm2 0.500 0.500 0.325
Er1 0.000 0.000 0.500
Hg1 0.500 0.500 0.000
```

---

Least stable structure: version i